Record 1
This record from the Alexandria database describes a geometry-optimized Li3FeP2O8 structure. The functional is GGA-PBEsol.

The structure belongs to space group C2/c (No. 15); the cell edges are 9.052, 4.637 and 13.315 Å and the angles 90.00°, 99.41° and 90.00°. The distinct sites, in fractional coordinates, are Li at (0.000, 0.045, 0.250), Li at (0.168, 0.467, 0.658), Fe at (0.000, 0.000, 0.000), P at (0.157, 0.482, 0.885), O at (0.038, 0.235, 0.865), O at (0.112, 0.327, 0.469), O at (0.163, 0.332, 0.290) and O at (0.186, 0.159, 0.084).

The value obtained for the volume is 551 Å³/cell. The offset from the most stable computed form comes out at 0 meV/atom. The calculation puts the raw formation energy at -29.911 eV/f.u. For the total DFT energy (no corrections), the calculation gives -7.025 eV/atom.

Record 2
This record from the Alexandria database describes a geometry-optimized InSe2 structure. The functional is GGA-PBEsol.

The structure belongs to space group P6_3/mmc (No. 194); the cell edges are 5.1988, 5.1988 and 5.5135 Å and the angles 90.00°, 90.00° and 120.00°. The distinct sites, in fractional coordinates, are In at (0.3333, 0.6667, 0.2500), Se at (0.0000, 0.0000, 0.0000) and Se at (0.3333, 0.6667, 0.7500).

The value obtained for the volume is 129 Å³/cell. The calculation puts the raw formation energy at 0.041 eV/f.u. For the total DFT energy (no corrections), the calculation gives -3.547 eV/atom.

Record 3
This record from the Alexandria database describes a geometry-optimized Y3Si5 structure. The functional is GGA-PBEsol.

The structure belongs to space group Cmmm (No. 65); the cell edges are 8.365, 8.832 and 4.119 Å and the angles 90.00°, 90.00° and 90.00°. The distinct sites, in fractional coordinates, are Y at (0.000, 0.000, 0.000), Y at (0.000, 0.283, 0.500), Si at (0.000, 0.500, 0.000), Si at (0.239, 0.000, 0.500) and Si at (0.250, 0.250, 0.000).

The value obtained for the volume is 304 Å³/cell. The calculation puts the raw formation energy at -3.483 eV/f.u. For the total DFT energy (no corrections), the calculation gives -6.585 eV/atom.

Record 4
This record from the Alexandria database describes a geometry-optimized SnMo3C structure. The functional is GGA-PBEsol.

The structure belongs to space group Pm-3m (No. 221); the cell edges are 4.170, 4.170 and 4.170 Å and the angles 90.00°, 90.00° and 90.00°. The distinct sites, in fractional coordinates, are Sn at (0.000, 0.000, 0.000), Mo at (0.000, 0.500, 0.500) and C at (0.500, 0.500, 0.500).

The value obtained for the volume is 73 Å³/cell. The calculation puts the formation energy at 7.79 kJ/mol of atoms. For the total DFT energy (no corrections), the calculation gives -9.761 eV/atom.

Record 5
This record from the Alexandria database describes a geometry-optimized SOF2 structure. The functional is GGA-PBEsol.

The structure belongs to space group P2_1/c (No. 14); the cell edges are 5.224, 7.018 and 14.586 Å and the angles 90.00°, 98.21° and 90.00°. The distinct sites, in fractional coordinates, are S at (0.035, 0.229, 0.348), S at (0.444, 0.162, 0.137), O at (0.010, 0.701, 0.250), O at (0.461, 0.531, 0.669), F at (0.168, 0.590, 0.111), F at (0.187, 0.169, 0.060), F at (0.278, 0.094, 0.385) and F at (0.366, 0.674, 0.441).

The value obtained for the volume is 529 Å³/cell. The offset from the most stable computed form comes out at 0 meV/atom. The calculation puts the raw formation energy at -6.347 eV/f.u. For the total DFT energy (no corrections), the calculation gives -4.959 eV/atom.

Record 6
This record from the Alexandria database describes a geometry-optimized SrLa2Si structure. The functional is GGA-PBEsol.

The structure belongs to space group P4mm (No. 99); the cell edges are 3.996, 3.996 and 7.786 Å and the angles 90.00°, 90.00° and 90.00°. The distinct sites, in fractional coordinates, are Sr at (0.000, 0.000, 0.000), La at (0.000, 0.000, 0.582), La at (0.500, 0.500, 0.370) and Si at (0.500, 0.500, 0.753).

The value obtained for the volume is 124 Å³/cell. The calculation puts the raw formation energy at -0.791 eV/f.u. For the total DFT energy (no corrections), the calculation gives -4.768 eV/atom.

Record 7
This record from the Alexandria database describes a geometry-optimized CrBiB3 structure. The functional is GGA-PBEsol.

The structure belongs to space group Pm-3m (No. 221); the cell edges are 4.617, 4.617 and 4.617 Å and the angles 90.00°, 90.00° and 90.00°. The distinct sites, in fractional coordinates, are Cr at (0.000, 0.000, 0.000), Bi at (0.500, 0.500, 0.500) and B at (0.000, 0.500, 0.500).

The value obtained for the volume is 98 Å³/cell. The offset from the most stable computed form comes out at 1713 meV/atom. The calculation puts the formation energy at 271.42 kJ/mol of atoms. For the total DFT energy (no corrections), the calculation gives -4.302 eV/atom.

Record 8
This record from the Alexandria database describes a geometry-optimized NbCd2BiRh structure. The functional is GGA-PBEsol.

The structure belongs to space group P4/mmm (No. 123); the cell edges are 5.330, 5.330 and 4.887 Å and the angles 90.00°, 90.00° and 90.00°. The distinct sites, in fractional coordinates, are Nb at (0.000, 0.000, 0.000), Cd at (0.000, 0.500, 0.500), Bi at (0.500, 0.500, 0.500) and Rh at (0.500, 0.500, 0.000).

The value obtained for the volume is 139 Å³/cell. The calculation puts the formation energy at 150.15 kJ/mol of atoms. For the total DFT energy (no corrections), the calculation gives -3.572 eV/atom.

Record 9
This record from the Alexandria database describes a geometry-optimized BaBe3Nb structure. The functional is GGA-PBEsol.

The structure belongs to space group Pm-3m (No. 221); the cell edges are 4.607, 4.607 and 4.607 Å and the angles 90.00°, 90.00° and 90.00°. The distinct sites, in fractional coordinates, are Ba at (0.000, 0.000, 0.000), Be at (0.000, 0.000, 0.500) and Nb at (0.500, 0.500, 0.500).

The value obtained for the volume is 98 Å³/cell. The calculation puts the formation energy at 237.52 kJ/mol of atoms. For the total DFT energy (no corrections), the calculation gives -2.532 eV/atom.

Record 10
This record from the Alexandria database describes a geometry-optimized RbMgSe2O structure. The functional is GGA-PBEsol.

The structure belongs to space group P4/mmm (No. 123); the cell edges are 5.202, 5.202 and 3.942 Å and the angles 90.00°, 90.00° and 90.00°. The distinct sites, in fractional coordinates, are Rb at (0.000, 0.000, 0.000), Mg at (0.500, 0.500, 0.000), Se at (0.000, 0.500, 0.500) and O at (0.500, 0.500, 0.500).

The value obtained for the volume is 107 Å³/cell. The calculation puts the raw formation energy at -3.225 eV/f.u. For the total DFT energy (no corrections), the calculation gives -3.783 eV/atom.

Record 11
This record from the Alexandria database describes a geometry-optimized Ti2Si2Ni structure. The functional is GGA-PBEsol.

The structure belongs to space group P4/mbm (No. 127); the cell edges are 5.943, 5.943 and 3.842 Å and the angles 90.00°, 90.00° and 90.00°. The distinct sites, in fractional coordinates, are Ti at (0.167, 0.333, 0.000), Si at (0.139, 0.639, 0.500) and Ni at (0.000, 0.000, 0.500).

The value obtained for the volume is 136 Å³/cell. The calculation puts the raw formation energy at -4.058 eV/f.u. For the total DFT energy (no corrections), the calculation gives -7.671 eV/atom.

Record 12
This record from the Alexandria database describes a geometry-optimized Ba2RuSe structure. The functional is GGA-PBEsol.

The structure belongs to space group F-43m (No. 216); the cell edges are 7.387, 7.387 and 7.387 Å and the angles 90.00°, 90.00° and 90.00°. The distinct sites, in fractional coordinates, are Ba at (0.000, 0.000, 0.000), Ba at (0.250, 0.250, 0.250), Ru at (0.000, 0.000, 0.500) and Se at (0.250, 0.250, 0.750).

The value obtained for the volume is 403 Å³/cell. The calculation puts the raw formation energy at 0.473 eV/f.u. For the total DFT energy (no corrections), the calculation gives -4.462 eV/atom.

- Which formula does entry 11 have?
  Ti2Si2Ni

- Among the records above, which one has the lowest total DFT energy (no corrections)?
  SnMo3C

- Among the records above, which one has the lowest total DFT energy (no corrections)?
  SnMo3C

Please write out number 3 again, unchanged.
This record from the Alexandria database describes a geometry-optimized Y3Si5 structure. The functional is GGA-PBEsol.

The structure belongs to space group Cmmm (No. 65); the cell edges are 8.365, 8.832 and 4.119 Å and the angles 90.00°, 90.00° and 90.00°. The distinct sites, in fractional coordinates, are Y at (0.000, 0.000, 0.000), Y at (0.000, 0.283, 0.500), Si at (0.000, 0.500, 0.000), Si at (0.239, 0.000, 0.500) and Si at (0.250, 0.250, 0.000).

The value obtained for the volume is 304 Å³/cell. The calculation puts the raw formation energy at -3.483 eV/f.u. For the total DFT energy (no corrections), the calculation gives -6.585 eV/atom.